This record from Alexandria describes a relaxed structure of MnRuF2. The functional is GGA+U.

The space group is R-3m (No. 166, hexagonal axes) and the conventional cell measures 2.8742, 2.8742 and 23.6940 Å, with angles of 90.00, 90.00 and 120.00 degrees. The asymmetric unit holds Mn at (0.0000, 0.0000, 0.0000), Ru at (0.0000, 0.0000, 0.5000) and F at (0.0000, 0.0000, 0.0807).

The calculated total energy is -5.689 eV per atom. As for the crystal system: trigonal. For the volume, the calculation gives 14.1 Å³ per atom. The calculation puts the energy above the most stable polymorph in this dataset at 330 meV per atom.